# LaYTlTe, relaxed, DFT PBE
# E_form (uncorrected) ... -0.89 eV per atom
# Final energy ... -0.3759 Ry per atom
# V ... 129 Å³/f.u.
data_LaYTlTe
_space_group_name_H-M_alt 'R 3 m'
_space_group_IT_number 160
_space_group_name_Hall 'R 3 -2"'
_cell_length_a 4.3123
_cell_length_b 4.3123
_cell_length_c 24.0571
_cell_angle_alpha 90.00
_cell_angle_beta 90.00
_cell_angle_gamma 120.00
loop_
_atom_site_label
_atom_site_type_symbol
_atom_site_fract_x
_atom_site_fract_y
_atom_site_fract_z
La1 La 0.0000 0.0000 0.0000
Y1 Y 0.0000 0.0000 0.4965
Tl1 Tl 0.0000 0.0000 0.2445
Te1 Te 0.0000 0.0000 0.7533

# NaVSb2I, relaxed, DFT PBE
# E_form (uncorrected) ... 1.28 eV per atom
# Final energy ... -0.2034 Ry per atom
# V ... 161 Å³/f.u.
# Energy above the lowest structure with this stoichiometry ... 1.320 eV/atom
data_NaVSb2I
_space_group_name_H-M_alt 'P 4/m m m'
_space_group_IT_number 123
_space_group_name_Hall '-P 4 2'
_cell_length_a 5.372
_cell_length_b 5.372
_cell_length_c 5.592
_cell_angle_alpha 90.00
_cell_angle_beta 90.00
_cell_angle_gamma 90.00
loop_
_atom_site_label
_atom_site_type_symbol
_atom_site_fract_x
_atom_site_fract_y
_atom_site_fract_z
Na1 Na 0.000 0.000 0.000
V1 V 0.500 0.500 0.500
Sb1 Sb 0.000 0.500 0.000
I1 I 0.000 0.000 0.500

# ClF, relaxed, DFT PBE
# E_form (uncorrected) ... -0.29 eV per atom
# Final energy ... -0.1583 Ry per atom
# V ... 53 Å³/f.u.
# Energy above the lowest structure with this stoichiometry ... 0.115 eV/atom
data_ClF
_space_group_name_H-M_alt 'I 4/m'
_space_group_IT_number 87
_space_group_name_Hall '-I 4'
_cell_length_a 10.410
_cell_length_b 10.410
_cell_length_c 3.883
_cell_angle_alpha 90.00
_cell_angle_beta 90.00
_cell_angle_gamma 90.00
loop_
_atom_site_label
_atom_site_type_symbol
_atom_site_fract_x
_atom_site_fract_y
_atom_site_fract_z
Cl1 Cl 0.104 0.215 0.000
F1 F 0.037 0.708 0.000

# CaZn8Pt2, relaxed, DFT PBE
# ΔE_f ... -0.03 eV per atom
# Final energy ... -0.1641 Ry per atom
# V ... 246 Å³/f.u.
data_CaZn8Pt2
_space_group_name_H-M_alt 'P 4/m m m'
_space_group_IT_number 123
_space_group_name_Hall '-P 4 2'
_cell_length_a 5.228
_cell_length_b 5.228
_cell_length_c 8.988
_cell_angle_alpha 90.00
_cell_angle_beta 90.00
_cell_angle_gamma 90.00
loop_
_atom_site_label
_atom_site_type_symbol
_atom_site_fract_x
_atom_site_fract_y
_atom_site_fract_z
Ca1 Ca 0.000 0.000 0.000
Zn1 Zn 0.250 0.250 0.297
Pt1 Pt 0.000 0.500 0.500

# SrBeFe, relaxed, DFT PBE
# ΔE_f ... 0.49 eV per atom
# Final energy ... -0.3038 Ry per atom
# V ... 56 Å³/f.u.
# Energy above the lowest structure with this stoichiometry ... 0.000 eV/atom
data_SrBeFe
_space_group_name_H-M_alt 'I 4 m m'
_space_group_IT_number 107
_space_group_name_Hall 'I 4 -2'
_cell_length_a 3.224
_cell_length_b 3.224
_cell_length_c 10.780
_cell_angle_alpha 90.00
_cell_angle_beta 90.00
_cell_angle_gamma 90.00
loop_
_atom_site_label
_atom_site_type_symbol
_atom_site_fract_x
_atom_site_fract_y
_atom_site_fract_z
Sr1 Sr 0.000 0.000 0.000
Be1 Be 0.000 0.000 0.733
Fe1 Fe 0.000 0.000 0.274

# AuBr2Cl, relaxed, DFT PBE
# E_form (uncorrected) ... 0.27 eV per atom
# Final energy ... -0.1358 Ry per atom
# V ... 117 Å³/f.u.
# Energy above the lowest structure with this stoichiometry ... 0.445 eV/atom
data_AuBr2Cl
_space_group_name_H-M_alt 'P m m 2'
_space_group_IT_number 25
_cell_length_a 2.737
_cell_length_b 3.880
_cell_length_c 11.034
_cell_angle_alpha 90.00
_cell_angle_beta 90.00
_cell_angle_gamma 90.00
loop_
_space_group_symop_operation_xyz
'x,y,z'
'-x,-y,z'
'-x,y,z'
'x,-y,z'
loop_
_atom_site_label
_atom_site_type_symbol
_atom_site_fract_x
_atom_site_fract_y
_atom_site_fract_z
Au1 Au 0.000 0.000 0.000
Br1 Br 0.000 0.000 0.513
Br2 Br 0.500 0.500 0.181
Cl1 Cl 0.500 0.500 0.845

# HgPbSe2, relaxed, DFT PBE
# E_form (uncorrected) ... -0.25 eV per atom
# Final energy ... -0.2201 Ry per atom
# V ... 110 Å³/f.u.
# Energy above the lowest structure with this stoichiometry ... 0.052 eV/atom
data_HgPbSe2
_space_group_name_H-M_alt 'R 3 m'
_space_group_IT_number 160
_space_group_name_Hall 'R 3 -2"'
_cell_length_a 4.1942
_cell_length_b 4.1942
_cell_length_c 21.5685
_cell_angle_alpha 90.00
_cell_angle_beta 90.00
_cell_angle_gamma 120.00
loop_
_atom_site_label
_atom_site_type_symbol
_atom_site_fract_x
_atom_site_fract_y
_atom_site_fract_z
Hg1 Hg 0.0000 0.0000 0.0000
Pb1 Pb 0.0000 0.0000 0.8303
Se1 Se 0.0000 0.0000 0.4006
Se2 Se 0.0000 0.0000 0.5823

# MgTeI6, relaxed, DFT PBE
# E_form (uncorrected) ... -0.38 eV per atom
# Final energy ... -0.1568 Ry per atom
# V ... 358 Å³/f.u.
# Energy above the lowest structure with this stoichiometry ... 0.000 eV/atom
data_MgTeI6
_space_group_name_H-M_alt 'C 1 2/m 1'
_space_group_IT_number 12
_cell_length_a 7.418
_cell_length_b 13.966
_cell_length_c 7.411
_cell_angle_alpha 90.00
_cell_angle_beta 110.96
_cell_angle_gamma 90.00
loop_
_space_group_symop_operation_xyz
'x,y,z'
'-x,-y,-z'
'-x,y,-z'
'x,-y,z'
'x+1/2,y+1/2,z'
'-x+1/2,-y+1/2,-z'
'-x+1/2,y+1/2,-z'
'x+1/2,-y+1/2,z'
loop_
_atom_site_label
_atom_site_type_symbol
_atom_site_fract_x
_atom_site_fract_y
_atom_site_fract_z
Mg1 Mg 0.000 0.000 0.000
Te1 Te 0.000 0.500 0.500
I1 I 0.240 0.147 0.239
I2 I 0.241 0.500 0.260

# Ti12Al3Co, relaxed, DFT PBE
# ΔE_f ... -0.19 eV per atom
# Final energy ... -0.5336 Ry per atom
# V ... 259 Å³/f.u.
data_Ti12Al3Co
_space_group_name_H-M_alt 'P 4/m m m'
_space_group_IT_number 123
_space_group_name_Hall '-P 4 2'
_cell_length_a 4.042
_cell_length_b 4.042
_cell_length_c 15.870
_cell_angle_alpha 90.00
_cell_angle_beta 90.00
_cell_angle_gamma 90.00
loop_
_atom_site_label
_atom_site_type_symbol
_atom_site_fract_x
_atom_site_fract_y
_atom_site_fract_z
Ti1 Ti 0.000 0.000 0.000
Ti2 Ti 0.000 0.000 0.243
Ti3 Ti 0.000 0.000 0.500
Ti4 Ti 0.000 0.500 0.117
Ti5 Ti 0.000 0.500 0.373
Al1 Al 0.500 0.500 0.244
Al2 Al 0.500 0.500 0.500
Co1 Co 0.500 0.500 0.000

# Ho2LuOs, relaxed, DFT PBE
# ΔE_f ... -0.10 eV per atom
# Final energy ... -0.4652 Ry per atom
# V ... 104 Å³/f.u.
# Energy above the lowest structure with this stoichiometry ... 0.000 eV/atom
data_Ho2LuOs
_space_group_name_H-M_alt 'P 4/m m m'
_space_group_IT_number 123
_space_group_name_Hall '-P 4 2'
_cell_length_a 3.370
_cell_length_b 3.370
_cell_length_c 9.187
_cell_angle_alpha 90.00
_cell_angle_beta 90.00
_cell_angle_gamma 90.00
loop_
_atom_site_label
_atom_site_type_symbol
_atom_site_fract_x
_atom_site_fract_y
_atom_site_fract_z
Ho1 Ho 0.000 0.000 0.181
Lu1 Lu 0.500 0.500 0.500
Os1 Os 0.500 0.500 0.000

# SBrO2, relaxed, DFT PBE
# E_form (uncorrected) ... -0.01 eV per atom
# Final energy ... -0.2893 Ry per atom
# V ... 77 Å³/f.u.
# Energy above the lowest structure with this stoichiometry ... 0.621 eV/atom
data_SBrO2
_space_group_name_H-M_alt 'P n n a'
_space_group_IT_number 52
_cell_length_a 4.596
_cell_length_b 6.211
_cell_length_c 10.773
_cell_angle_alpha 90.00
_cell_angle_beta 90.00
_cell_angle_gamma 90.00
loop_
_space_group_symop_operation_xyz
'x,y,z'
'-x,-y,-z'
'-x+1/2,-y,z'
'x+1/2,y,-z'
'x,-y+1/2,-z+1/2'
'-x,y+1/2,z+1/2'
'-x+1/2,y+1/2,-z+1/2'
'x+1/2,-y+1/2,z+1/2'
loop_
_atom_site_label
_atom_site_type_symbol
_atom_site_fract_x
_atom_site_fract_y
_atom_site_fract_z
S1 S 0.250 0.000 0.077
Br1 Br 0.050 0.250 0.250
O1 O 0.004 0.668 0.456

# LaNiOs2, relaxed, DFT PBE
# ΔE_f ... 0.18 eV per atom
# Final energy ... -0.5962 Ry per atom
# V ... 77 Å³/f.u.
# Energy above the lowest structure with this stoichiometry ... 0.261 eV/atom
data_LaNiOs2
_space_group_name_H-M_alt 'P 1 2/m 1'
_space_group_IT_number 10
_cell_length_a 4.277
_cell_length_b 4.428
_cell_length_c 4.308
_cell_angle_alpha 90.00
_cell_angle_beta 109.25
_cell_angle_gamma 90.00
loop_
_space_group_symop_operation_xyz
'x,y,z'
'-x,-y,-z'
'-x,y,-z'
'x,-y,z'
loop_
_atom_site_label
_atom_site_type_symbol
_atom_site_fract_x
_atom_site_fract_y
_atom_site_fract_z
La1 La 0.000 0.000 0.000
Ni1 Ni 0.500 0.000 0.500
Os1 Os 0.353 0.500 0.705

# AlP2Pb, relaxed, DFT PBE
# ΔE_f ... 0.05 eV per atom
# Final energy ... -0.3319 Ry per atom
# V ... 87 Å³/f.u.
# Energy above the lowest structure with this stoichiometry ... 0.154 eV/atom
data_AlP2Pb
_space_group_name_H-M_alt 'P 4 m m'
_space_group_IT_number 99
_cell_length_a 3.707
_cell_length_b 3.707
_cell_length_c 6.315
_cell_angle_alpha 90.00
_cell_angle_beta 90.00
_cell_angle_gamma 90.00
loop_
_space_group_symop_operation_xyz
'x,y,z'
'-y,x,z'
'-x,-y,z'
'y,-x,z'
'-x,y,z'
'y,x,z'
'x,-y,z'
'-y,-x,z'
loop_
_atom_site_label
_atom_site_type_symbol
_atom_site_fract_x
_atom_site_fract_y
_atom_site_fract_z
Al1 Al 0.000 0.000 0.000
P1 P 0.000 0.000 0.382
P2 P 0.500 0.500 0.934
Pb1 Pb 0.500 0.500 0.509

# Nd9AlIn2, relaxed, DFT PBE
# ΔE_f ... -0.24 eV per atom
# Final energy ... -0.3368 Ry per atom
# V ... 366 Å³/f.u.
data_Nd9AlIn2
_space_group_name_H-M_alt 'P 4/m m m'
_space_group_IT_number 123
_space_group_name_Hall '-P 4 2'
_cell_length_a 4.959
_cell_length_b 4.959
_cell_length_c 14.874
_cell_angle_alpha 90.00
_cell_angle_beta 90.00
_cell_angle_gamma 90.00
loop_
_atom_site_label
_atom_site_type_symbol
_atom_site_fract_x
_atom_site_fract_y
_atom_site_fract_z
Nd1 Nd 0.000 0.000 0.000
Nd2 Nd 0.000 0.000 0.330
Nd3 Nd 0.000 0.500 0.162
Nd4 Nd 0.000 0.500 0.500
Al1 Al 0.500 0.500 0.000
In1 In 0.500 0.500 0.332

# YHBr2, relaxed, DFT PBE
# Final energy ... -0.3368 Ry per atom
# V ... 115 Å³/f.u.
data_YHBr2
_space_group_name_H-M_alt 'I -4 2 d'
_space_group_IT_number 122
_space_group_name_Hall 'I -4 2bw'
_cell_length_a 10.438
_cell_length_b 10.438
_cell_length_c 4.214
_cell_angle_alpha 90.00
_cell_angle_beta 90.00
_cell_angle_gamma 90.00
loop_
_atom_site_label
_atom_site_type_symbol
_atom_site_fract_x
_atom_site_fract_y
_atom_site_fract_z
Y1 Y 0.000 0.000 0.000
H1 H 0.000 0.000 0.500
Br1 Br 0.087 0.250 0.125